Record 1
Below is TbTm2In3NiGe2 after structural relaxation, with properties calculated at the PBE level.

Structure (CIF):
```
data_TbTm2In3NiGe2
_cell_length_a 4.2151
_cell_length_b 7.2934
_cell_length_c 7.2934
_cell_angle_alpha 120.18
_cell_angle_beta 90.00
_cell_angle_gamma 90.00
_space_group_name_H-M_alt 'P 1'
_space_group_IT_number 1
loop_
_space_group_symop_operation_xyz
'x,y,z'
loop_
_atom_site_label
_atom_site_type_symbol
_atom_site_fract_x
_atom_site_fract_y
_atom_site_fract_z
Tm1 Tm 0.0000 0.4020 0.9993
Tm2 Tm 0.0000 0.9993 0.4020
Tb1 Tb 0.0000 0.5958 0.5958
Ge1 Ge 0.5000 0.6675 0.3305
Ge2 Ge 0.5000 0.3305 0.6675
In1 In 0.5000 0.0004 0.7604
In2 In 0.5000 0.2404 0.2404
In3 In 0.5000 0.7604 0.0004
Ni1 Ni 0.0000 0.0037 0.0037
```

***

Record 2
# NpInGe, relaxed, DFT PBE
data_NpInGe
_cell_length_a 4.7853
_cell_length_b 4.7853
_cell_length_c 4.7853
_cell_angle_alpha 60.00
_cell_angle_beta 60.00
_cell_angle_gamma 60.00
_space_group_name_H-M_alt 'P 1'
_space_group_IT_number 1
loop_
_space_group_symop_operation_xyz
'x,y,z'
loop_
_atom_site_label
_atom_site_type_symbol
_atom_site_fract_x
_atom_site_fract_y
_atom_site_fract_z
Ge1 Ge 0.0000 0.0000 0.0000
Np1 Np 0.7500 0.7500 0.7500
In1 In 0.2500 0.2500 0.2500
# **Distance to the lowest polymorph of the same formula**: 0.00 eV per formula unit

***

Record 3
Below is PrInGeO5 after structural relaxation, with properties calculated at the PBE level.

Structure (CIF):
```
data_PrInGeO5
_cell_length_a 5.7156
_cell_length_b 5.9739
_cell_length_c 7.2019
_cell_angle_alpha 105.85
_cell_angle_beta 99.57
_cell_angle_gamma 108.31
_space_group_name_H-M_alt 'P 1'
_space_group_IT_number 1
loop_
_space_group_symop_operation_xyz
'x,y,z'
loop_
_atom_site_label
_atom_site_type_symbol
_atom_site_fract_x
_atom_site_fract_y
_atom_site_fract_z
O1 O 0.6707 0.6233 0.8996
O2 O 0.2973 0.8741 0.0775
O3 O 0.4205 0.7568 0.5550
O4 O 0.0848 0.3938 0.7366
O5 O 0.9381 0.8505 0.6495
O6 O 0.0619 0.1495 0.3505
O7 O 0.5795 0.2432 0.4450
O8 O 0.3293 0.3767 0.1004
O9 O 0.9152 0.6062 0.2634
O10 O 0.7027 0.1259 0.9225
In1 In 0.0000 0.5000 0.5000
In2 In 0.0000 0.5000 0.0000
Pr1 Pr 0.3508 0.1807 0.7164
Pr2 Pr 0.6492 0.8193 0.2836
Ge1 Ge 0.6868 0.8341 0.7673
Ge2 Ge 0.3132 0.1659 0.2327
```

***

Record 4
Below is InGeOs after structural relaxation, with properties calculated at the PBE level.

Structure (CIF):
```
data_InGeOs
_cell_length_a 4.3833
_cell_length_b 4.3833
_cell_length_c 4.3833
_cell_angle_alpha 60.00
_cell_angle_beta 60.00
_cell_angle_gamma 60.00
_space_group_name_H-M_alt 'P 1'
_space_group_IT_number 1
loop_
_space_group_symop_operation_xyz
'x,y,z'
loop_
_atom_site_label
_atom_site_type_symbol
_atom_site_fract_x
_atom_site_fract_y
_atom_site_fract_z
Ge1 Ge 0.2500 0.2500 0.2500
In1 In 0.7500 0.7500 0.7500
Os1 Os 0.0000 0.0000 0.0000
```

***

no.,energy (Ry/atom)
1,-0.3417
2,-0.4820
3,-0.5006
4,-0.4283